(1)
Density functional theory data (meta-GGA SCAN) for AlIn2Br at its PBEsol-relaxed geometry.

Properties
distance to the lowest polymorph of the same formula = 0 meV/atom
symmetry = Cmmm

a = 3.452 Å, b = 3.452 Å, c = 8.071 Å
α = 90.00°, β = 90.00°, γ = 95.21°
Positions (direct):
Al 0.000 0.000 0.000
In 0.500 0.500 0.230
In 0.500 0.500 0.770
Br 0.000 0.000 0.500


(2)
Density functional theory data (meta-GGA SCAN) for AlIn2Br at its PBEsol-relaxed geometry.

Properties
distance to the lowest polymorph of the same formula = 4 meV/atom
symmetry = Imm2

a = 6.113 Å, b = 6.113 Å, c = 6.113 Å
α = 147.87°, β = 126.76°, γ = 63.56°
Positions (direct):
Al 0.000 0.000 0.000
In 0.501 0.501 0.000
In 0.768 0.268 0.500
Br 0.214 0.714 0.500


(3)
Density functional theory data (meta-GGA SCAN) for AlInBr4 at its PBEsol-relaxed geometry.

Properties
symmetry = P2/c

a = 8.561 Å, b = 7.464 Å, c = 13.002 Å
α = 90.00°, β = 105.43°, γ = 90.00°
Positions (direct):
Al 0.214 0.214 0.451
Al 0.214 0.786 0.951
Al 0.786 0.214 0.049
Al 0.786 0.786 0.549
In 0.000 0.393 0.750
In 0.000 0.607 0.250
In 0.500 0.085 0.250
In 0.500 0.915 0.750
Br 0.061 0.269 0.108
Br 0.061 0.731 0.608
Br 0.281 0.071 0.908
Br 0.281 0.929 0.408
Br 0.295 0.252 0.635
Br 0.295 0.748 0.135
Br 0.348 0.422 0.372
Br 0.348 0.578 0.872
Br 0.652 0.422 0.128
Br 0.652 0.578 0.628
Br 0.705 0.252 0.865
Br 0.705 0.748 0.365
Br 0.719 0.071 0.592
Br 0.719 0.929 0.092
Br 0.939 0.269 0.392
Br 0.939 0.731 0.892


(4)
Density functional theory data (meta-GGA SCAN) for K2AlInBr at its PBEsol-relaxed geometry.

Properties
symmetry = P4/mmm

a = 6.703 Å, b = 6.703 Å, c = 4.844 Å
α = 90.00°, β = 90.00°, γ = 90.00°
Positions (direct):
K 0.000 0.500 0.000
K 0.500 0.000 0.000
Al 0.000 0.000 0.500
In 0.000 0.000 0.000
Br 0.500 0.500 0.500


(5)
Density functional theory data (meta-GGA SCAN) for AlIrBr at its PBEsol-relaxed geometry.

Properties
symmetry = P3m1

a = 3.144 Å, b = 3.144 Å, c = 6.138 Å
α = 90.00°, β = 90.00°, γ = 120.00°
Positions (direct):
Al 0.000 0.000 0.000
Ir 0.333 0.667 0.262
Br 0.667 0.333 0.697


(6)
Density functional theory data (meta-GGA SCAN) for AlIrBr2 at its PBEsol-relaxed geometry.

Properties
distance to the lowest polymorph of the same formula = 0 meV/atom
symmetry = R-3m

a = 8.381 Å, b = 8.381 Å, c = 8.381 Å
α = 25.02°, β = 25.02°, γ = 25.02°
Positions (direct):
Al 0.000 0.000 0.000
Ir 0.500 0.500 0.500
Br 0.225 0.225 0.225
Br 0.775 0.775 0.775


| no. | VASP energy (eV per atom) |
| --- | --- |
| 1 | -23.51 |
| 2 | -23.50 |
| 3 | -20.93 |
| 4 | -15.73 |
| 5 | -32.88 |
| 6 | -28.77 |